P.
Material: YHf2Si
Method: DFT, PBE-GGA
State: optimized geometry Values from VASP.

Results
- M_tot (μB/cell) = 0.91
- space group = No. 225

```
&SYSTEM
  ibrav = 0, nat = 4, ntyp = 3
/
ATOMIC_SPECIES
Y 88.91 Y.upf
Hf 178.49 Hf.upf
Si 28.09 Si.upf
ATOMIC_POSITIONS crystal
Y 0.000 0.000 0.000
Hf 0.250 0.250 0.250
Hf 0.750 0.750 0.750
Si 0.500 0.500 0.500
CELL_PARAMETERS angstrom
0.000 3.454 3.454
3.454 0.000 3.454
3.454 3.454 0.000
```


Q.
Material: YHf2Si
Method: DFT, PBE-GGA
State: optimized geometry Values from VASP.

Results
- M_tot (μB/cell) = 0.00
- space group = No. 122

```
&SYSTEM
  ibrav = 0, nat = 8, ntyp = 3
/
ATOMIC_SPECIES
Y 88.91 Y.upf
Hf 178.49 Hf.upf
Si 28.09 Si.upf
ATOMIC_POSITIONS crystal
Y 0.000 0.000 0.000
Y 0.750 0.250 0.500
Hf 0.183 0.625 0.058
Hf 0.375 0.433 0.558
Hf 0.567 0.125 0.942
Hf 0.875 0.817 0.442
Si 0.250 0.750 0.500
Si 0.500 0.500 0.000
CELL_PARAMETERS angstrom
-4.060 4.060 2.873
4.060 -4.060 2.873
4.060 4.060 -2.873
```


Least stable: P


P.
Material: YHfSi2
Method: DFT, PBE-GGA
State: optimized geometry Values from VASP.

Results
- M_tot (μB/cell) = 0.00
- space group = No. 166

```
&SYSTEM
  ibrav = 0, nat = 4, ntyp = 3
/
ATOMIC_SPECIES
Y 88.91 Y.upf
Hf 178.49 Hf.upf
Si 28.09 Si.upf
ATOMIC_POSITIONS crystal
Y 0.000 0.000 0.000
Hf 0.500 0.500 0.500
Si 0.242 0.242 0.242
Si 0.758 0.758 0.758
CELL_PARAMETERS angstrom
1.944 1.122 6.602
-1.944 1.122 6.602
0.000 -2.245 6.602
```


Q.
Material: YHfSi2
Method: DFT, PBE-GGA
State: optimized geometry Values from VASP.

Results
- M_tot (μB/cell) = 0.00
- space group = No. 122

```
&SYSTEM
  ibrav = 0, nat = 8, ntyp = 3
/
ATOMIC_SPECIES
Y 88.91 Y.upf
Hf 178.49 Hf.upf
Si 28.09 Si.upf
ATOMIC_POSITIONS crystal
Y 0.000 0.000 0.000
Y 0.750 0.250 0.500
Hf 0.250 0.750 0.500
Hf 0.500 0.500 0.000
Si 0.176 0.625 0.051
Si 0.375 0.426 0.551
Si 0.574 0.125 0.949
Si 0.875 0.824 0.449
CELL_PARAMETERS angstrom
-2.770 2.770 7.512
2.770 -2.770 7.512
2.770 2.770 -7.512
```


R.
Material: YHfSi2
Method: DFT, PBE-GGA
State: optimized geometry Values from VASP.

Results
- M_tot (μB/cell) = 0.00
- space group = No. 225

```
&SYSTEM
  ibrav = 0, nat = 4, ntyp = 3
/
ATOMIC_SPECIES
Y 88.91 Y.upf
Hf 178.49 Hf.upf
Si 28.09 Si.upf
ATOMIC_POSITIONS crystal
Y 0.000 0.000 0.000
Hf 0.500 0.500 0.500
Si 0.250 0.250 0.250
Si 0.750 0.750 0.750
CELL_PARAMETERS angstrom
0.000 3.406 3.406
3.406 0.000 3.406
3.406 3.406 0.000
```


Least stable: Q


P.
Material: SmHf2
Method: DFT, PBE-GGA
State: optimized geometry Values from VASP.

Results
- M_tot (μB/cell) = 0.00
- space group = No. 139

```
&SYSTEM
  ibrav = 0, nat = 3, ntyp = 2
/
ATOMIC_SPECIES
Sm 150.36 Sm.upf
Hf 178.49 Hf.upf
ATOMIC_POSITIONS crystal
Sm 0.000 0.000 0.000
Hf 0.318 0.318 0.000
Hf 0.682 0.682 0.000
CELL_PARAMETERS angstrom
-1.603 1.603 7.546
1.603 -1.603 7.546
1.603 1.603 -7.546
```


Q.
Material: SmHf2
Method: DFT, PBE-GGA
State: optimized geometry Values from VASP.

Results
- M_tot (μB/cell) = 5.05
- space group = No. 227

```
&SYSTEM
  ibrav = 0, nat = 6, ntyp = 2
/
ATOMIC_SPECIES
Sm 150.36 Sm.upf
Hf 178.49 Hf.upf
ATOMIC_POSITIONS crystal
Sm 0.125 0.125 0.125
Sm 0.875 0.875 0.875
Hf 0.000 0.500 0.500
Hf 0.500 0.000 0.500
Hf 0.500 0.500 0.000
Hf 0.500 0.500 0.500
CELL_PARAMETERS angstrom
0.000 4.312 4.312
4.312 0.000 4.312
4.312 4.312 0.000
```


Least stable: Q